DFT (PBE with a Hubbard U) results for an optimized crystal structure of NaMnO3.

Properties
- E_tot (eV/cell) = -117.4
- space group = Pnma
- crystal system = orthorhombic

Lattice parameters (Å, degrees): 5.1086 10.2196 5.3184 90.00 90.00 90.00
Fractional positions:
Na 0.0000 0.0000 0.0000
Na 0.0000 0.5000 0.0000
Na 0.5000 0.0000 0.5000
Na 0.5000 0.5000 0.5000
Mn 0.0230 0.2500 0.4464
Mn 0.4770 0.7500 0.9464
Mn 0.5230 0.2500 0.0536
Mn 0.9770 0.7500 0.5536
O 0.1169 0.1139 0.5892
O 0.1169 0.3861 0.5892
O 0.1784 0.2500 0.1399
O 0.3216 0.7500 0.6399
O 0.3831 0.6139 0.0892
O 0.3831 0.8861 0.0892
O 0.6169 0.1139 0.9108
O 0.6169 0.3861 0.9108
O 0.6784 0.2500 0.3601
O 0.8216 0.7500 0.8601
O 0.8831 0.6139 0.4108
O 0.8831 0.8861 0.4108